[1]
Material: Mg2TaCu
Method: DFT, GGA-PBE
State: relaxed

Results
Energy of formation ... 0.57 eV/atom
E above lowest polymorph ... 474 meV/atom
E_tot ... -16.87 eV/cell
Crystal system ... cubic
SG ... Fm-3m

Cell lengths 4.624, 4.624, 4.624 Å; angles 60.00, 60.00, 60.00 degrees
Atoms (fractional coordinates):
Mg (0.250, 0.250, 0.250)
Mg (0.750, 0.750, 0.750)
Cu (0.000, 0.000, 0.000)
Ta (0.500, 0.500, 0.500)



[2]
Material: KCo2Hg
Method: DFT, GGA-PBE
State: relaxed

Results
Energy of formation ... 0.68 eV/atom
E_tot ... -12.90 eV/cell
Crystal system ... orthorhombic
SG ... Imm2

Cell lengths 6.080, 6.080, 6.080 Å; angles 152.12, 126.74, 61.18 degrees
Each line ends with the local moment (μB).
Atoms (fractional coordinates):
Co (0.936, 0.936, 0.000)  1.88
Co (0.776, 0.276, 0.500)  1.75
Hg (0.545, 0.545, 0.000)  0.00
K (0.243, 0.743, 0.500)  -0.02



[3]
Material: PmZn3Ga3
Method: DFT, GGA-PBE
State: relaxed

Results
Energy of formation ... 0.13 eV/atom
E above lowest polymorph ... 379 meV/atom
E_tot ... -33.52 eV/cell
Crystal system ... cubic
SG ... Pm-3n

Cell lengths 6.857, 6.857, 6.857 Å; angles 90.00, 90.00, 90.00 degrees
Atoms (fractional coordinates):
Zn (0.250, 0.000, 0.500)
Zn (0.000, 0.500, 0.250)
Zn (0.500, 0.750, 0.000)
Zn (0.750, 0.000, 0.500)
Zn (0.000, 0.500, 0.750)
Zn (0.500, 0.250, 0.000)
Ga (0.000, 0.250, 0.500)
Ga (0.000, 0.750, 0.500)
Ga (0.500, 0.000, 0.750)
Ga (0.750, 0.500, 0.000)
Ga (0.500, 0.000, 0.250)
Ga (0.250, 0.500, 0.000)
Pm (0.500, 0.500, 0.500)
Pm (0.000, 0.000, 0.000)